No. 1
## AcZnOsO6 (GGA-PBE)

Data for crystalline AcZnOsO6 at its relaxed geometry.

abc: 5.352 5.352 5.256
angles: 90.00 90.00 60.00
Each line ends with the local moment (μB).
Positions (direct):
O: 0.028 0.359 0.293  0.03
Zn: 0.667 0.667 0.500  0.02
O: 0.359 0.028 0.707  0.03
O: 0.359 0.613 0.293  0.03
Ac: 0.000 0.000 0.000  0.02
O: 0.613 0.028 0.293  0.03
O: 0.613 0.359 0.707  0.03
O: 0.028 0.613 0.707  0.03
Os: 0.333 0.333 0.500  0.59

DFT total energy in eV per formula unit: -62.0
Total moment in μB/cell: 0.92
E_form (uncorrected) in kJ/mol of formula units: -1510
SG: P312

=====

No. 2
## Ac6PO8 (GGA-PBE)

Data for crystalline Ac6PO8 at its relaxed geometry.

abc: 7.461 7.461 13.738
angles: 90.00 90.00 120.00
Each line ends with the local moment (μB).
Positions (direct):
Ac: 0.385 0.000 0.449  0.00
P: 0.000 0.000 0.970  0.28
O: 0.000 0.308 0.275  0.05
Ac: 0.333 0.667 0.210  0.00
O: 0.000 0.617 0.125  0.04
O: 0.667 0.333 0.402  0.00
Ac: 0.667 0.333 0.710  0.00
O: 0.308 0.000 0.275  0.05
O: 0.000 0.383 0.625  0.04
Ac: 0.667 0.333 0.210  0.00
O: 0.383 0.383 0.125  0.04
O: 0.308 0.308 0.775  0.05
P: 0.000 0.000 0.470  0.28
Ac: 0.000 0.000 0.707  0.03
Ac: 0.385 0.385 0.949  0.00
O: 0.617 0.000 0.125  0.04
O: 0.617 0.617 0.625  0.04
O: 0.692 0.000 0.775  0.05
O: 0.333 0.667 0.902  0.00
O: 0.383 0.000 0.625  0.04
O: 0.333 0.667 0.402  0.00
Ac: 0.615 0.615 0.449  0.00
Ac: 0.000 0.385 0.449  0.00
O: 0.000 0.692 0.775  0.05
O: 0.692 0.692 0.275  0.05
Ac: 0.615 0.000 0.949  0.00
Ac: 0.000 0.615 0.949  0.00
Ac: 0.333 0.667 0.710  0.00
O: 0.667 0.333 0.902  0.00
Ac: 0.000 0.000 0.207  0.03

DFT total energy in eV per formula unit: -112.9
Total moment in μB/cell: 2.07
E_form (uncorrected) in kJ/mol of formula units: -4168
SG: P6_3cm

=====

No. 3
## Ac2PO6 (GGA-PBE)

Data for crystalline Ac2PO6 at its relaxed geometry.

abc: 4.527 5.348 5.348
angles: 60.01 89.96 89.96
Each line ends with the local moment (μB).
Positions (direct):
P: 0.000 0.000 0.000  -0.01
O: 0.788 0.155 0.689  0.15
Ac: 0.730 0.667 0.667  0.00
O: 0.788 0.689 0.155  0.15
O: 0.787 0.155 0.155  0.15
O: 0.212 0.311 0.845  0.15
O: 0.213 0.845 0.845  0.15
O: 0.212 0.845 0.311  0.15
Ac: 0.270 0.333 0.333  0.00

DFT total energy in eV per formula unit: -67.1
Total moment in μB/cell: 1.05
E_form (uncorrected) in kJ/mol of formula units: -2288
Energy relative to the lowest polymorph listed for this composition in meV per atom: 68
SG: P-3m1

=====

No. 4
## Ac2PO6 (GGA-PBE)

Data for crystalline Ac2PO6 at its relaxed geometry.

abc: 5.506 7.777 5.505
angles: 90.00 90.00 90.01
Each line ends with the local moment (μB).
Positions (direct):
O: 0.279 0.001 0.721  0.15
O: 0.002 0.721 0.000  0.16
O: 0.221 0.499 0.779  0.15
P: 0.000 0.500 0.000  -0.01
O: 0.721 0.999 0.279  0.15
O: 0.721 0.999 0.721  0.15
O: 0.221 0.499 0.221  0.15
O: 0.502 0.221 0.500  0.16
Ac: 0.500 0.750 0.000  0.00
O: 0.779 0.501 0.779  0.15
O: 0.498 0.779 0.500  0.16
Ac: 0.500 0.250 0.000  0.00
O: 0.279 0.001 0.279  0.15
P: 0.500 0.000 0.500  -0.01
Ac: 0.000 0.750 0.500  0.00
O: 0.998 0.279 0.000  0.16
O: 0.779 0.501 0.221  0.15
Ac: 0.000 0.250 0.500  0.00

DFT total energy in eV per formula unit: -67.7
Total moment in μB/cell: 2.13
E_form (uncorrected) in kJ/mol of formula units: -2347
Energy relative to the lowest polymorph listed for this composition in meV per atom: 0
SG: C2/m

=====

No. 5
## AcPO (GGA-PBE)

Data for crystalline AcPO at its relaxed geometry.

abc: 5.818 8.053 6.233
angles: 90.00 90.00 111.18
Positions (direct):
O: 0.000 0.500 0.250
Ac: 0.665 0.330 0.000
P: 0.000 0.000 0.169
O: 0.000 0.500 0.750
P: 0.500 0.000 0.669
Ac: 0.165 0.330 0.500
P: 0.500 0.000 0.331
Ac: 0.335 0.670 0.000
Ac: 0.835 0.670 0.500
O: 0.500 0.500 0.750
P: 0.000 0.000 0.831
O: 0.500 0.500 0.250

DFT total energy in eV per formula unit: -20.9
Total moment in μB/cell: 0.00
E_form (uncorrected) in kJ/mol of formula units: -620
Energy relative to the lowest polymorph listed for this composition in meV per atom: 136
SG: Fmmm

=====

No. 6
## Ac2PO5 (GGA-PBE)

Data for crystalline Ac2PO5 at its relaxed geometry.

abc: 7.192 7.290 10.200
angles: 90.00 105.72 90.00
Positions (direct):
O: 0.987 0.622 0.118
Ac: 0.739 0.851 0.992
O: 0.404 0.544 0.270
O: 0.513 0.122 0.882
O: 0.904 0.956 0.270
P: 0.927 0.905 0.675
O: 0.239 0.473 0.634
O: 0.013 0.378 0.882
O: 0.261 0.973 0.366
O: 0.761 0.527 0.366
Ac: 0.108 0.605 0.354
P: 0.073 0.095 0.325
Ac: 0.392 0.105 0.646
Ac: 0.761 0.351 0.008
Ac: 0.608 0.895 0.354
O: 0.916 0.757 0.782
O: 0.739 0.027 0.634
O: 0.055 0.198 0.455
Ac: 0.239 0.649 0.992
O: 0.416 0.743 0.782
O: 0.584 0.257 0.218
O: 0.555 0.302 0.455
O: 0.487 0.878 0.118
O: 0.596 0.456 0.730
O: 0.445 0.698 0.545
O: 0.945 0.802 0.545
P: 0.427 0.595 0.675
Ac: 0.892 0.395 0.646
P: 0.573 0.405 0.325
Ac: 0.261 0.149 0.008
O: 0.096 0.044 0.730
O: 0.084 0.243 0.218

DFT total energy in eV per formula unit: -61.6
Total moment in μB/cell: 0.00
E_form (uncorrected) in kJ/mol of formula units: -2234
Energy relative to the lowest polymorph listed for this composition in meV per atom: 0
SG: P2_1/c